# 1
Crystalline Na2Sm2Pd15 at its relaxed geometry, computed with GGA-PBE.

* E_form: -0.361 eV per atom
* spin magnetization: 0.00 μB per atom
* calculated volume: 338.1 Å³/cell

Lattice parameters (Å, degrees): 7.0279 7.0279 7.0279 82.11 82.11 82.11
With the nearest neighbours (Å) after each atom.
Fractional coordinates of all 19 atoms:
Na (0.0921, 0.0921, 0.0921)  1 Na 2.53
Na (0.9079, 0.9079, 0.9079)  1 Na 2.53
Sm (0.3504, 0.3504, 0.3504)  12 Pd 3.11-3.36
Sm (0.6496, 0.6496, 0.6496)  12 Pd 3.11-3.36
Pd (0.0000, 0.0000, 0.5000)  8 Pd 2.69-2.74, 2 Na 2.86
Pd (0.0000, 0.3272, 0.6728)  8 Pd 2.74-3.02
Pd (0.0000, 0.5000, 0.0000)  8 Pd 2.69-2.74, 2 Na 2.86
Pd (0.0000, 0.6728, 0.3272)  8 Pd 2.74-3.02
Pd (0.1688, 0.6598, 0.6598)  8 Pd 2.62-2.79, 1 Na 2.92
Pd (0.3272, 0.0000, 0.6728)  8 Pd 2.74-3.02
Pd (0.3272, 0.6728, 0.0000)  8 Pd 2.74-3.02
Pd (0.3402, 0.3402, 0.8312)  8 Pd 2.62-2.79, 1 Na 2.92
Pd (0.3402, 0.8312, 0.3402)  8 Pd 2.62-2.79, 1 Na 2.92
Pd (0.5000, 0.0000, 0.0000)  8 Pd 2.69-2.74, 2 Na 2.86
Pd (0.6598, 0.1688, 0.6598)  8 Pd 2.62-2.79, 1 Na 2.92
Pd (0.6598, 0.6598, 0.1688)  8 Pd 2.62-2.79, 1 Na 2.92
Pd (0.6728, 0.0000, 0.3272)  8 Pd 2.74-3.02
Pd (0.6728, 0.3272, 0.0000)  8 Pd 2.74-3.02
Pd (0.8312, 0.3402, 0.3402)  8 Pd 2.62-2.79, 1 Na 2.92

***

# 2
Crystalline LiTlIrO3 at its relaxed geometry, computed with GGA-PBE.

* formation energy from raw total energies: -803.1 meV/atom
* spin magnetization: 0.00 μB per atom
* calculated volume: 153.4 Å³/cell

Lattice parameters (Å, degrees): 5.7079 5.7079 5.4072 90.00 90.00 119.45
With the nearest neighbours (Å) after each atom.
Fractional coordinates of all 12 atoms:
Li (0.0896, 0.9104, 0.7500)  5 O 1.97-2.11
Li (0.9104, 0.0896, 0.2500)  5 O 1.97-2.11
Tl (0.2258, 0.7742, 0.2500)  1 Ir 2.77, 8 O 2.78-2.94, 2 Li 3.02
Tl (0.7742, 0.2258, 0.7500)  1 Ir 2.77, 8 O 2.78-2.94, 2 Li 3.02
Ir (0.4929, 0.5071, 0.7500)  5 O 2.01-2.04
Ir (0.5071, 0.4929, 0.2500)  5 O 2.01-2.04
O (0.2353, 0.2353, 0.0000)  2 Ir 2.04, 2 Li 2.11
O (0.2353, 0.2353, 0.5000)  2 Ir 2.04, 2 Li 2.11
O (0.2895, 0.7105, 0.7500)  1 Li 1.97, 1 Ir 2.01
O (0.7105, 0.2895, 0.2500)  1 Li 1.97, 1 Ir 2.01
O (0.7647, 0.7647, 0.0000)  2 Ir 2.04, 2 Li 2.11
O (0.7647, 0.7647, 0.5000)  2 Ir 2.04, 2 Li 2.11

***

# 3
Crystalline NiSbBr at its relaxed geometry, computed with GGA-PBE.

* E above lowest polymorph: 0.254 eV/atom
* formation energy from raw total energies: 86.1 meV/atom
* spin magnetization: 0.00 μB per atom
* calculated volume: 65.8 Å³/cell

Lattice parameters (Å, degrees): 6.4641 6.4641 6.4641 150.37 150.37 42.39
With the nearest neighbours (Å) after each atom.
Fractional coordinates of all 3 atoms:
Ni (0.0000, 0.0000, 0.0000)  4 Sb 2.71, 4 Br 2.86
Sb (0.6132, 0.6132, 0.0000)  4 Ni 2.71, 1 Br 3.01
Br (0.3637, 0.3637, 0.0000)  4 Ni 2.86, 1 Sb 3.01

***

# 4
Crystalline Zn2FeCu2 at its relaxed geometry, computed with GGA-PBE.

* E above lowest polymorph: 0.143 eV/atom
* E_form: 0.273 eV per atom
* spin magnetization: 0.52 μB per atom
* calculated volume: 70.4 Å³/cell

Lattice parameters (Å, degrees): 6.5777 6.5777 6.5777 150.12 150.12 42.76
With the nearest neighbours (Å) after each atom.
Fractional coordinates of all 5 atoms:
Zn (0.0984, 0.0984, 0.0000)  1 Zn 2.41, 4 Cu 2.51, 4 Fe 2.68
Zn (0.9016, 0.9016, 0.0000)  1 Zn 2.41, 4 Cu 2.51, 4 Fe 2.68
Fe (0.5000, 0.5000, 0.0000)  8 Zn 2.68
Cu (0.2500, 0.7500, 0.5000)  4 Cu 2.40, 4 Zn 2.51
Cu (0.7500, 0.2500, 0.5000)  4 Cu 2.40, 4 Zn 2.51

***

# 5
Crystalline K2FeOs at its relaxed geometry, computed with GGA-PBE.

* E above lowest polymorph: 0.305 eV/atom
* E_form: 1.079 eV per atom
* spin magnetization: 0.64 μB per atom
* calculated volume: 118.5 Å³/cell

Lattice parameters (Å, degrees): 6.6612 6.6612 6.6612 148.97 128.27 61.56
With the nearest neighbours (Å) after each atom.
Fractional coordinates of all 4 atoms:
K (0.0000, 0.0000, 0.0000)  4 Fe 3.55, 6 K 3.56-3.77, 4 Os 3.70-3.86
K (0.7094, 0.2094, 0.5000)  4 Os 3.56, 6 K 3.56-3.77, 4 Fe 3.73-3.82
Fe (0.4140, 0.4140, 0.0000)  2 Os 2.21
Os (0.2996, 0.7996, 0.5000)  2 Fe 2.21

***

# 6
Crystalline Ta2CoRh at its relaxed geometry, computed with GGA-PBE.

* E_form: -0.266 eV per atom
* spin magnetization: 0.00 μB per atom
* calculated volume: 122.1 Å³/cell

Lattice parameters (Å, degrees): 5.5384 5.5384 4.1713 90.00 90.00 107.35
With the nearest neighbours (Å) after each atom.
Fractional coordinates of all 8 atoms:
Ta (0.1017, 0.3423, 0.2500)  3 Co 2.57-2.59, 4 Rh 2.76-2.80
Ta (0.3423, 0.1017, 0.7500)  3 Co 2.57-2.59, 4 Rh 2.76-2.80
Ta (0.6577, 0.8983, 0.2500)  3 Co 2.57-2.59, 4 Rh 2.76-2.80
Ta (0.8983, 0.6577, 0.7500)  3 Co 2.57-2.59, 4 Rh 2.76-2.80
Co (0.1768, 0.8232, 0.2500)  6 Ta 2.57-2.59, 2 Rh 2.81
Co (0.8232, 0.1768, 0.7500)  6 Ta 2.57-2.59, 2 Rh 2.81
Rh (0.3885, 0.6115, 0.7500)  8 Ta 2.76-2.80, 2 Co 2.81, 2 Rh 2.88
Rh (0.6115, 0.3885, 0.2500)  8 Ta 2.76-2.80, 2 Co 2.81, 2 Rh 2.88

***

# 7
Crystalline Cs3Tm2Cl9 at its relaxed geometry, computed with GGA-PBE.

* formation energy from raw total energies: -2226.1 meV/atom
* spin magnetization: 0.00 μB per atom
* calculated volume: 964.2 Å³/cell

Lattice parameters (Å, degrees): 9.9354 9.9354 9.9354 83.70 83.70 83.70
With the nearest neighbours (Å) after each atom.
Fractional coordinates of all 28 atoms:
Cs (0.0899, 0.7500, 0.4101)  12 Cl 3.77-3.97
Cs (0.2500, 0.5899, 0.9101)  12 Cl 3.77-3.97
Cs (0.4101, 0.0899, 0.7500)  12 Cl 3.77-3.97
Cs (0.5899, 0.9101, 0.2500)  12 Cl 3.77-3.97
Cs (0.7500, 0.4101, 0.0899)  12 Cl 3.77-3.97
Cs (0.9101, 0.2500, 0.5899)  12 Cl 3.77-3.97
Tm (0.1523, 0.1523, 0.1523)  6 Cl 2.53-2.72
Tm (0.3477, 0.3477, 0.3477)  6 Cl 2.53-2.72
Tm (0.6523, 0.6523, 0.6523)  6 Cl 2.53-2.72
Tm (0.8477, 0.8477, 0.8477)  6 Cl 2.53-2.72
Cl (0.0756, 0.9135, 0.7365)  1 Tm 2.53
Cl (0.0865, 0.2635, 0.9244)  1 Tm 2.53
Cl (0.1001, 0.3999, 0.2500)  2 Tm 2.72
Cl (0.2365, 0.4135, 0.5756)  1 Tm 2.53
Cl (0.2500, 0.1001, 0.3999)  2 Tm 2.72
Cl (0.2635, 0.9244, 0.0865)  1 Tm 2.53
Cl (0.3999, 0.2500, 0.1001)  2 Tm 2.72
Cl (0.4135, 0.5756, 0.2365)  1 Tm 2.53
Cl (0.4244, 0.7635, 0.5865)  1 Tm 2.53
Cl (0.5756, 0.2365, 0.4135)  1 Tm 2.53
Cl (0.5865, 0.4244, 0.7635)  1 Tm 2.53
Cl (0.6001, 0.7500, 0.8999)  2 Tm 2.72
Cl (0.7365, 0.0756, 0.9135)  1 Tm 2.53
Cl (0.7500, 0.8999, 0.6001)  2 Tm 2.72
Cl (0.7635, 0.5865, 0.4244)  1 Tm 2.53
Cl (0.8999, 0.6001, 0.7500)  2 Tm 2.72
Cl (0.9135, 0.7365, 0.0756)  1 Tm 2.53
Cl (0.9244, 0.0865, 0.2635)  1 Tm 2.53

***

# 8
Crystalline TaAl2W at its relaxed geometry, computed with GGA-PBE.

* E above lowest polymorph: 0.226 eV/atom
* E_form: 0.076 eV per atom
* spin magnetization: 0.00 μB per atom
* calculated volume: 64.4 Å³/cell

Lattice parameters (Å, degrees): 3.3756 3.3756 5.6515 90.00 90.00 90.00
With the nearest neighbours (Å) after each atom.
Fractional coordinates of all 4 atoms:
Ta (0.0000, 0.0000, 0.0000)  8 Al 2.81, 2 W 2.83
Al (0.5000, 0.5000, 0.2609)  2 Al 2.70-2.95, 4 W 2.74, 4 Ta 2.81
Al (0.5000, 0.5000, 0.7391)  2 Al 2.70-2.95, 4 W 2.74, 4 Ta 2.81
W (0.0000, 0.0000, 0.5000)  8 Al 2.74, 2 Ta 2.83

***

# 9
Crystalline TlCd2Os at its relaxed geometry, computed with GGA-PBE.

* E above lowest polymorph: 0.142 eV/atom
* E_form: 0.619 eV per atom
* spin magnetization: 0.00 μB per atom
* calculated volume: 86.3 Å³/cell

Lattice parameters (Å, degrees): 2.9381 2.9381 11.3640 90.00 90.00 118.38
With the nearest neighbours (Å) after each atom.
Fractional coordinates of all 4 atoms:
Tl (0.0000, 0.0000, 0.0000)  6 Tl 2.94-3.01, 2 Os 2.97
Cd (0.0000, 0.0000, 0.5649)  2 Os 2.82, 6 Cd 2.94-3.01
Cd (0.5000, 0.5000, 0.3124)  8 Cd 2.94-3.24
Os (0.5000, 0.5000, 0.7749)  2 Cd 2.82, 6 Os 2.94-3.01, 2 Tl 2.97

***

# 10
Crystalline ZnS2N2 at its relaxed geometry, computed with GGA-PBE.

* E above lowest polymorph: 0.000 eV/atom
* formation energy from raw total energies: 1147.6 meV/atom
* spin magnetization: 0.03 μB per atom
* calculated volume: 86.0 Å³/cell

Lattice parameters (Å, degrees): 3.3784 3.3784 7.5351 90.00 90.00 90.00
With the nearest neighbours (Å) after each atom.
Fractional coordinates of all 5 atoms:
Zn (0.0000, 0.0000, 0.0000)  4 S 2.39
S (0.5000, 0.5000, 0.0000)  4 Zn 2.39
S (0.5000, 0.5000, 0.5000)  4 N 1.69
N (0.0000, 0.5000, 0.5000)  2 S 1.69
N (0.5000, 0.0000, 0.5000)  2 S 1.69

***

# 11
Crystalline HgPtS2 at its relaxed geometry, computed with GGA-PBE.

* formation energy from raw total energies: 553.1 meV/atom
* spin magnetization: 0.00 μB per atom
* calculated volume: 143.7 Å³/cell

Lattice parameters (Å, degrees): 5.7169 5.7169 5.7169 108.56 108.56 111.31
With the nearest neighbours (Å) after each atom.
Fractional coordinates of all 8 atoms:
Hg (0.2500, 0.7500, 0.5000)  4 S 2.63
Hg (0.7500, 0.2500, 0.5000)  4 S 2.63
Pt (0.2500, 0.2500, 0.0000)  8 S 2.87
Pt (0.7500, 0.7500, 0.0000)  8 S 2.87
S (0.2207, 0.7207, 0.9413)  2 Hg 2.63, 4 Pt 2.87
S (0.2793, 0.2207, 0.5000)  2 Hg 2.63, 4 Pt 2.87
S (0.7207, 0.7793, 0.5000)  2 Hg 2.63, 4 Pt 2.87
S (0.7793, 0.2793, 0.0587)  2 Hg 2.63, 4 Pt 2.87

***

# 12
Crystalline AcH6Ir at its relaxed geometry, computed with GGA-PBE.

* E above lowest polymorph: 0.000 eV/atom
* spin magnetization: 0.00 μB per atom
* calculated volume: 79.7 Å³/cell

Lattice parameters (Å, degrees): 4.8779 4.8779 4.8779 58.75 58.75 58.75
With the nearest neighbours (Å) after each atom.
Fractional coordinates of all 8 atoms:
Ac (0.0000, 0.0000, 0.0000)  12 H 2.64
H (0.0847, 0.5962, 0.5962)  1 Ir 1.67
H (0.4038, 0.4038, 0.9153)  1 Ir 1.67
H (0.4038, 0.9153, 0.4038)  1 Ir 1.67
H (0.5962, 0.0847, 0.5962)  1 Ir 1.67
H (0.5962, 0.5962, 0.0847)  1 Ir 1.67
H (0.9153, 0.4038, 0.4038)  1 Ir 1.67
Ir (0.5000, 0.5000, 0.5000)  6 H 1.67

***

These records have density of states at the Fermi level values of 18.93, 4.43, 0.96, 4.18, 4.07, 3.62, 0.00, 2.71, 2.87, 3.27, 2.16, 0.00 states/eV/f.u., in the order they appear.